1.
First-principles (PBE) data for a relaxed structure of ZnInRe, as listed in Alexandria via LeMat-Bulk.

Unit cell a=6.8525 b=6.8525 c=6.8525 alpha=156.14 beta=156.14 gamma=33.99
With the nearest neighbours (Å) after each atom.
Fractional positions:
Zn: 0.0000 0.0000 0.0000  4 Re 2.73, 4 Zn 2.83
In: 0.3117 0.3117 0.0000  4 In 2.83, 4 Re 2.99
Re: 0.6418 0.6418 0.0000  4 Zn 2.73, 4 Re 2.83, 4 In 2.99

Energy above the most stable polymorph in this dataset in eV/f.u.: 0.22

2.
First-principles (PBE) data for a relaxed structure of ZnInRe2, as listed in Alexandria via LeMat-Bulk.

Unit cell a=2.7781 b=4.5790 c=5.1963 alpha=90.00 beta=96.29 gamma=90.00
With the nearest neighbours (Å) after each atom.
Fractional positions:
Zn: 0.0000 0.0000 0.0000  4 Re 2.73, 2 Zn 2.78, 2 In 2.81
In: 0.5000 0.0000 0.5000  2 In 2.78, 4 Re 2.79, 4 Zn 2.81-3.08
Re: 0.2805 0.5000 0.7726  3 Re 2.54-2.78, 2 Zn 2.73, 2 In 2.79
Re: 0.7195 0.5000 0.2274  3 Re 2.54-2.78, 2 Zn 2.73, 2 In 2.79

Energy above the most stable polymorph in this dataset in eV/f.u.: 1.25

3.
First-principles (PBE) data for a relaxed structure of ZnInRe2, as listed in Alexandria via LeMat-Bulk.

Unit cell a=9.2620 b=9.2620 c=9.2620 alpha=17.78 beta=17.78 gamma=17.78
With the nearest neighbours (Å) after each atom.
Fractional positions:
Zn: 0.0000 0.0000 0.0000  6 Re 2.73, 6 Zn 2.86
In: 0.5000 0.5000 0.5000  6 In 2.86, 6 Re 2.90
Re: 0.2540 0.2540 0.2540  3 Zn 2.73, 6 Re 2.86, 3 In 2.90
Re: 0.7460 0.7460 0.7460  3 Zn 2.73, 6 Re 2.86, 3 In 2.90

Energy above the most stable polymorph in this dataset in eV/f.u.: 1.33

4.
First-principles (PBE) data for a relaxed structure of ZnInRe2, as listed in Alexandria via LeMat-Bulk.

Unit cell a=3.0647 b=3.0647 c=7.0533 alpha=90.00 beta=90.00 gamma=90.00
With the nearest neighbours (Å) after each atom.
Fractional positions:
Zn: 0.0000 0.0000 0.0000  4 Re 2.68, 4 In 2.96
In: 0.5000 0.5000 0.2851  4 Re 2.93, 4 Zn 2.96, 4 In 3.06
Re: 0.0000 0.0000 0.5644  4 Re 2.63, 4 In 2.93
Re: 0.5000 0.5000 0.7758  4 Re 2.63, 4 Zn 2.68

Energy above the most stable polymorph in this dataset in eV/f.u.: 0.00

5.
First-principles (PBE) data for a relaxed structure of ZnInRe2, as listed in Alexandria via LeMat-Bulk.

Unit cell a=10.0305 b=10.0305 c=10.0305 alpha=157.64 beta=157.64 gamma=31.83
With the nearest neighbours (Å) after each atom.
Fractional positions:
Zn: 0.0000 0.0000 0.0000  4 Re 2.70, 4 In 2.75
Zn: 0.7500 0.2500 0.5000  4 Re 2.70, 4 In 2.75
In: 0.2500 0.7500 0.5000  4 Zn 2.75, 4 Re 2.87
In: 0.5000 0.5000 0.0000  4 Zn 2.75, 4 Re 2.87
Re: 0.0628 0.6250 0.9378  2 Re 2.43, 2 Zn 2.70
Re: 0.3750 0.3128 0.4378  2 Re 2.43, 2 Zn 2.70
Re: 0.6872 0.1250 0.0622  2 Re 2.43, 2 Zn 2.70
Re: 0.8750 0.9372 0.5622  2 Re 2.43, 2 Zn 2.70

Energy above the most stable polymorph in this dataset in eV/f.u.: 1.92

6.
First-principles (PBE) data for a relaxed structure of ZnInRe2, as listed in Alexandria via LeMat-Bulk.

Unit cell a=4.4836 b=4.4836 c=4.4836 alpha=60.00 beta=60.00 gamma=60.00
With the nearest neighbours (Å) after each atom.
Fractional positions:
Zn: 0.0000 0.0000 0.0000  8 Re 2.75
In: 0.5000 0.5000 0.5000  8 Re 2.75
Re: 0.2500 0.2500 0.2500  4 In 2.75, 4 Zn 2.75
Re: 0.7500 0.7500 0.7500  4 In 2.75, 4 Zn 2.75

Energy above the most stable polymorph in this dataset in eV/f.u.: 2.35

7.
First-principles (PBE) data for a relaxed structure of ZnInRe2, as listed in Alexandria via LeMat-Bulk.

Unit cell a=2.8281 b=2.8281 c=9.5794 alpha=90.00 beta=90.00 gamma=117.34
With the nearest neighbours (Å) after each atom.
Fractional positions:
Zn: 0.0000 0.0000 0.0000  2 Re 2.70, 6 Zn 2.83-2.94, 2 In 3.01
In: 0.5000 0.5000 0.7256  6 In 2.83-2.94, 2 Re 2.96, 2 Zn 3.01
Re: 0.0000 0.0000 0.4569  6 Re 2.58-2.83
Re: 0.5000 0.5000 0.2359  6 Re 2.58-2.83, 2 Zn 2.70

Energy above the most stable polymorph in this dataset in eV/f.u.: 0.92

8.
First-principles (PBE) data for a relaxed structure of ZnInRe, as listed in Alexandria via LeMat-Bulk.

Unit cell a=4.5509 b=4.5509 c=2.7892 alpha=90.00 beta=90.00 gamma=120.00
With the nearest neighbours (Å) after each atom.
Fractional positions:
Zn: 0.0000 0.0000 0.0000  3 In 2.69, 3 Re 2.79, 2 Zn 2.79
In: 0.6667 0.3333 0.2034  3 Zn 2.69, 2 In 2.79, 3 Re 2.93
Re: 0.3333 0.6667 0.6659  3 Zn 2.79, 2 Re 2.79, 6 In 2.93-3.03

Energy above the most stable polymorph in this dataset in eV/f.u.: 0.04

9.
First-principles (PBE) data for a relaxed structure of ZnInRe, as listed in Alexandria via LeMat-Bulk.

Unit cell a=4.4581 b=4.4581 c=4.4581 alpha=60.00 beta=60.00 gamma=60.00
With the nearest neighbours (Å) after each atom.
Fractional positions:
Zn: 0.0000 0.0000 0.0000  4 Re 2.73
In: 0.5000 0.5000 0.5000  4 Re 2.73
Re: 0.7500 0.7500 0.7500  4 In 2.73, 4 Zn 2.73

Energy above the most stable polymorph in this dataset in eV/f.u.: 1.26

10.
First-principles (PBE) data for a relaxed structure of ZnInRe2, as listed in Alexandria via LeMat-Bulk.

Unit cell a=4.8852 b=4.8852 c=4.9020 alpha=100.32 beta=100.32 gamma=34.38
With the nearest neighbours (Å) after each atom.
Fractional positions:
Zn: 0.0000 0.0000 0.0000  6 Re 2.77-2.80, 4 In 2.84, 2 Zn 2.89
In: 0.5000 0.5000 0.5000  4 Zn 2.84, 6 Re 2.87, 2 In 2.89
Re: 0.2528 0.2528 0.7707  4 Re 2.68-2.89, 3 Zn 2.77-2.80, 3 In 2.87
Re: 0.7472 0.7472 0.2293  4 Re 2.68-2.89, 3 Zn 2.77-2.80, 3 In 2.87

Energy above the most stable polymorph in this dataset in eV/f.u.: 1.04

11.
First-principles (PBE) data for a relaxed structure of ZnInRe2, as listed in Alexandria via LeMat-Bulk.

Unit cell a=2.7716 b=2.7716 c=9.1080 alpha=90.00 beta=90.00 gamma=111.89
With the nearest neighbours (Å) after each atom.
Fractional positions:
Zn: 0.0000 0.0000 0.0000  4 Re 2.66, 4 Zn 2.77
In: 0.0000 0.0000 0.5000  4 In 2.77, 4 Re 2.85
Re: 0.5000 0.5000 0.2377  2 Zn 2.66, 4 Re 2.77, 2 In 2.85
Re: 0.5000 0.5000 0.7623  2 Zn 2.66, 4 Re 2.77, 2 In 2.85

Energy above the most stable polymorph in this dataset in eV/f.u.: 1.53

12.
First-principles (PBE) data for a relaxed structure of ZnInRe2, as listed in Alexandria via LeMat-Bulk.

Unit cell a=5.3459 b=5.3459 c=5.3459 alpha=146.44 beta=129.55 gamma=61.96
With the nearest neighbours (Å) after each atom.
Fractional positions:
Zn: 0.0000 0.0000 0.0000  4 Re 2.70, 4 In 2.75
In: 0.5000 0.5000 0.0000  4 Zn 2.75, 4 Re 2.83
Re: 0.2418 0.7418 0.5000  2 Zn 2.70, 4 Re 2.76, 2 In 2.83
Re: 0.7582 0.2582 0.5000  2 Zn 2.70, 4 Re 2.76, 2 In 2.83

Energy above the most stable polymorph in this dataset in eV/f.u.: 1.19

13.
First-principles (PBE) data for a relaxed structure of ZnInRe2, as listed in Alexandria via LeMat-Bulk.

Unit cell a=4.6477 b=4.6477 c=4.6477 alpha=126.06 beta=124.99 gamma=80.67
With the nearest neighbours (Å) after each atom.
Fractional positions:
Zn: 0.0000 0.0000 0.0000  4 In 2.76-2.77, 8 Re 2.76-3.01
In: 0.2519 0.7519 0.5000  4 Zn 2.76-2.77, 8 Re 2.77-3.01
Re: 0.5054 0.5054 0.0000  4 Re 2.72-2.82, 4 In 2.77, 4 Zn 3.01
Re: 0.7480 0.2480 0.5000  4 Re 2.72-2.82, 4 Zn 2.76-2.77, 4 In 3.01

Energy above the most stable polymorph in this dataset in eV/f.u.: 1.01

14.
First-principles (PBE) data for a relaxed structure of ZnInRe2, as listed in Alexandria via LeMat-Bulk.

Unit cell a=2.8284 b=4.1404 c=5.7381 alpha=90.00 beta=90.00 gamma=90.00
With the nearest neighbours (Å) after each atom.
Fractional positions:
Zn: 0.0000 0.0000 0.0000  8 Re 2.77, 2 Zn 2.83, 2 In 2.87
In: 0.0000 0.0000 0.5000  2 In 2.83, 2 Zn 2.87, 8 Re 3.02
Re: 0.5000 0.5000 0.2069  1 Re 2.37
Re: 0.5000 0.5000 0.7931  1 Re 2.37

Energy above the most stable polymorph in this dataset in eV/f.u.: 1.50

15.
First-principles (PBE) data for a relaxed structure of Zn4InRe, as listed in Alexandria via LeMat-Bulk.

Unit cell a=5.0600 b=5.0600 c=5.0600 alpha=60.00 beta=60.00 gamma=60.00
With the nearest neighbours (Å) after each atom.
Fractional positions:
Zn: 0.3765 0.3765 0.3765  6 Zn 2.50-2.56
Zn: 0.3765 0.3765 0.8704  6 Zn 2.50-2.56
Zn: 0.3765 0.8704 0.3765  6 Zn 2.50-2.56
Zn: 0.8704 0.3765 0.3765  6 Zn 2.50-2.56
In: 0.0000 0.0000 0.0000  12 Zn 2.97, 4 Re 3.10
Re: 0.7500 0.7500 0.7500  12 Zn 2.96, 4 In 3.10

Calculated ΔE_f (meV/atom), listed in the same order as above: 560, 527, 546, 213, 694, 800, 442, 500, 908, 474, 597, 510, 466, 588, 333
Calculated raw total energy (eV/atom), listed in the same order as above: -4.927, -6.701, -6.681, -7.014, -6.533, -6.427, -6.785, -4.987, -4.579, -6.753, -6.630, -6.717, -6.761, -6.639, -3.047
Calculated ρ (g/cm3), listed in the same order as above: 11.57, 13.97, 14.19, 13.85, 12.58, 14.40, 13.48, 12.16, 9.71, 14.14, 14.13, 14.24, 14.31, 13.66, 10.20